# 1
Material: LiNd3Tc
Method: DFT, GGA-PBE
State: relaxed

Computed properties:
total magnetization: 0.00 μB per formula unit
total energy: -5.11 eV per atom
ρ: 5.4 g/cm³
ΔH_f (0 K): 210 meV/atom
D(E_F): 0.977 states/eV/atom

Cell: 5.504 5.504 5.504 Å, 90.00 90.00 90.00°
Positions (direct):
Li: 0.000 0.000 0.000
Nd: 0.000 0.500 0.500
Nd: 0.500 0.000 0.500
Nd: 0.500 0.500 0.000
Tc: 0.500 0.500 0.500

# 2
Material: LiNdTc
Method: DFT, GGA-PBE
State: relaxed

Computed properties:
total magnetization: 0.00 μB per formula unit
total energy: -5.49 eV per atom
ρ: 6.0 g/cm³
ΔH_f (0 K): 189 meV/atom
D(E_F): 0.871 states/eV/atom

Cell: 6.469 6.469 5.427 Å, 102.52 102.52 38.70°
Positions (direct):
Li: 0.080 0.080 0.292
Li: 0.920 0.920 0.708
Nd: 0.374 0.374 0.173
Nd: 0.626 0.626 0.827
Tc: 0.279 0.279 0.604
Tc: 0.721 0.721 0.396

# 3
Material: LiNdTmTc
Method: DFT, GGA-PBE
State: relaxed

Computed properties:
total magnetization: 0.00 μB per formula unit
total energy: -5.37 eV per atom
ρ: 8.0 g/cm³
ΔH_f (0 K): 14 meV/atom
D(E_F): 0.965 states/eV/atom

Cell: 4.975 4.975 4.975 Å, 60.00 60.00 60.00°
Positions (direct):
Li: 0.000 0.000 0.000
Nd: 0.750 0.750 0.750
Tm: 0.250 0.250 0.250
Tc: 0.500 0.500 0.500

# 4
Material: LiNdYTc
Method: DFT, GGA-PBE
State: relaxed

Computed properties:
total magnetization: 0.00 μB per formula unit
total energy: -5.84 eV per atom
ρ: 6.3 g/cm³
ΔH_f (0 K): 37 meV/atom
D(E_F): 0.997 states/eV/atom

Cell: 5.014 5.014 5.014 Å, 60.00 60.00 60.00°
Positions (direct):
Li: 0.000 0.000 0.000
Nd: 0.250 0.250 0.250
Y: 0.750 0.750 0.750
Tc: 0.500 0.500 0.500

# 5
Material: LiNd3Te4
Method: DFT, GGA-PBE
State: relaxed

Computed properties:
total magnetization: 0.00 μB per formula unit
energy relative to the elements, uncorrected: -9.593 eV per formula unit
total energy: -4.80 eV per atom
ρ: 5.2 g/cm³
D(E_F): 0.541 states/eV/atom

Cell: 10.564 9.119 6.296 Å, 90.00 90.00 90.00°
Positions (direct):
Li: 0.000 0.156 0.000
Li: 0.500 0.844 0.500
Nd: 0.000 0.816 0.546
Nd: 0.249 0.663 0.045
Nd: 0.251 0.337 0.545
Nd: 0.500 0.184 0.046
Nd: 0.749 0.337 0.545
Nd: 0.751 0.663 0.045
Te: 0.000 0.156 0.539
Te: 0.000 0.841 0.046
Te: 0.228 0.323 0.045
Te: 0.272 0.677 0.545
Te: 0.500 0.159 0.546
Te: 0.500 0.844 0.039
Te: 0.728 0.677 0.545
Te: 0.772 0.323 0.045

# 6
Material: LiNd2Te
Method: DFT, GGA-PBE
State: relaxed

Computed properties:
total magnetization: 0.00 μB per formula unit
energy relative to the elements, uncorrected: -2.424 eV per formula unit
total energy: -4.25 eV per atom
ρ: 6.2 g/cm³
D(E_F): 1.134 states/eV/atom

Cell: 4.066 4.066 6.819 Å, 90.00 90.00 90.00°
Positions (direct):
Li: 0.000 0.000 0.000
Nd: 0.500 0.500 0.247
Nd: 0.500 0.500 0.753
Te: 0.000 0.000 0.500